Compound: CdMo6Se8
Source: the Alexandria database
Functional: meta-GGA SCAN
Structure: PBEsol geometry

Cell lengths 6.6916, 6.6916, 6.6916 Å; angles 91.19, 91.19, 91.19 degrees
Positions (direct):
Cd 0.0000 0.0000 0.0000
Mo 0.2297 0.4199 0.5533
Mo 0.4199 0.5533 0.2297
Mo 0.4467 0.7703 0.5801
Mo 0.5533 0.2297 0.4199
Mo 0.5801 0.4467 0.7703
Mo 0.7703 0.5801 0.4467
Se 0.1252 0.7442 0.3727
Se 0.2282 0.2282 0.2282
Se 0.2558 0.6273 0.8748
Se 0.3727 0.1252 0.7442
Se 0.6273 0.8748 0.2558
Se 0.7442 0.3727 0.1252
Se 0.7718 0.7718 0.7718
Se 0.8748 0.2558 0.6273

The symmetry is R-3, No. 148. For the uncorrected formation energy, the calculation gives -537 meV per atom. The calculation puts the raw total energy at -27.23 eV per atom. As for the density of states at the Fermi level: 8.8 states/eV per cell.

Compound: Cd2MoSe
Source: the Alexandria database
Functional: meta-GGA SCAN
Structure: PBEsol geometry

Cell lengths 6.8441, 6.8441, 6.8441 Å; angles 90.00, 90.00, 90.00 degrees
Positions (direct):
Cd 0.2500 0.2500 0.2500
Cd 0.2500 0.2500 0.7500
Cd 0.2500 0.7500 0.2500
Cd 0.2500 0.7500 0.7500
Cd 0.7500 0.2500 0.2500
Cd 0.7500 0.2500 0.7500
Cd 0.7500 0.7500 0.2500
Cd 0.7500 0.7500 0.7500
Mo 0.0000 0.0000 0.0000
Mo 0.0000 0.5000 0.5000
Mo 0.5000 0.0000 0.5000
Mo 0.5000 0.5000 0.0000
Se 0.0000 0.0000 0.5000
Se 0.0000 0.5000 0.0000
Se 0.5000 0.0000 0.0000
Se 0.5000 0.5000 0.5000

For the distance to the lowest polymorph of the same formula, the calculation gives 470 meV per atom. The symmetry is Fm-3m, No. 225. For the uncorrected formation energy, the calculation gives 752 meV per atom. The calculation puts the raw total energy at -28.20 eV per atom. As for the density of states at the Fermi level: 7.4 states/eV per cell.

Compound: CdSi2Mo
Source: the Alexandria database
Functional: meta-GGA SCAN
Structure: PBEsol geometry

Cell lengths 6.4424, 6.9784, 2.7621 Å; angles 90.00, 90.00, 90.00 degrees
Positions (direct):
Cd 0.0000 0.0000 0.0000
Cd 0.5000 0.5000 0.0000
Si 0.2500 0.2500 0.5000
Si 0.2500 0.7500 0.5000
Si 0.7500 0.2500 0.5000
Si 0.7500 0.7500 0.5000
Mo 0.0000 0.5000 0.0000
Mo 0.5000 0.0000 0.0000

The symmetry is Cmmm, No. 65. For the uncorrected formation energy, the calculation gives 483 meV per atom. The calculation puts the raw total energy at -20.85 eV per atom. As for the density of states at the Fermi level: 4.5 states/eV per cell.

Compound: CdSi2Mo
Source: the Alexandria database
Functional: meta-GGA SCAN
Structure: PBEsol geometry

Cell lengths 3.2641, 3.2641, 5.8637 Å; angles 90.00, 90.00, 90.00 degrees
Positions (direct):
Cd 0.0000 0.0000 0.0000
Si 0.5000 0.5000 0.2886
Si 0.5000 0.5000 0.7114
Mo 0.0000 0.0000 0.5000

The symmetry is P4/mmm, No. 123. For the uncorrected formation energy, the calculation gives 144 meV per atom. The calculation puts the raw total energy at -21.19 eV per atom. As for the density of states at the Fermi level: 1.7 states/eV per cell.

Compound: Sr2CdMo
Source: the Alexandria database
Functional: meta-GGA SCAN
Structure: PBEsol geometry

Cell lengths 5.4977, 5.4977, 3.8204 Å; angles 90.00, 90.00, 90.00 degrees
Positions (direct):
Sr 0.0000 0.5000 0.0000
Sr 0.5000 0.0000 0.0000
Cd 0.0000 0.0000 0.5000
Mo 0.5000 0.5000 0.5000

For the distance to the lowest polymorph of the same formula, the calculation gives 0 meV per atom. The symmetry is P4/mmm, No. 123. The formation energy is 0.55 eV/atom. The calculation puts the raw total energy at -26.91 eV per atom. As for the density of states at the Fermi level: 2.5 states/eV per cell.

Compound: SrCd2Mo
Source: the Alexandria database
Functional: meta-GGA SCAN
Structure: PBEsol geometry

Cell lengths 6.5725, 8.5171, 3.0160 Å; angles 90.00, 90.00, 90.00 degrees
Positions (direct):
Sr 0.0000 0.0000 0.0000
Sr 0.5000 0.5000 0.0000
Cd 0.2500 0.2500 0.5000
Cd 0.2500 0.7500 0.5000
Cd 0.7500 0.2500 0.5000
Cd 0.7500 0.7500 0.5000
Mo 0.0000 0.5000 0.0000
Mo 0.5000 0.0000 0.0000

For the distance to the lowest polymorph of the same formula, the calculation gives 0 meV per atom. The symmetry is Cmmm, No. 65. The formation energy is 0.51 eV/atom. The calculation puts the raw total energy at -28.98 eV per atom. As for the density of states at the Fermi level: 3.4 states/eV per cell.